(1)
PSe2Br | Alexandria | PBE | optimized geometry; raw formation energy = 129.1 meV per atom; polymorph energy (0 for the lowest one) = 3.417 kcal/mol of atoms
1.0
1.8283 3.2049 -0.0302
-1.8283 3.2049 -0.0302
0.0000 0.1032 7.8803
Br Se P
1 2 1
Cartesian
0.0000 0.0516 3.9402
0.0000 1.1955 6.3809
0.0000 5.3175 1.4389
0.0000 3.2049 -0.0302

***

(2)
HoTmCuRh | Alexandria | PBE | optimized geometry; DFT formation energy = -603 meV/atom
1.0
4.8383 0.0000 0.0000
2.4191 4.1901 0.0000
2.4191 1.3967 3.9504
Tm Cu Rh Ho
1 1 1 1
Cartesian
4.8383 2.7934 1.9752
2.4191 1.3967 0.9876
7.2574 4.1901 2.9628
0.0000 0.0000 0.0000

***

(3)
PPd3Pb | Alexandria | PBE | optimized geometry; DFT formation energy = -364 meV/atom; polymorph energy (0 for the lowest one) = 0.000 kcal/mol of atoms
1.0
-2.2018 -3.2794 -0.3574
3.9732 -1.8713 -7.3059
7.1880 -5.4030 5.2930
Pb Pd P
4 12 4
Cartesian
5.6632 -4.7491 -2.3155
8.8336 -9.4093 -1.0931
3.2961 -5.8046 -0.0548
0.1258 -1.1444 -1.2773
3.1102 -5.2869 -3.6593
5.7667 -7.3769 -0.8480
5.8492 -5.2669 1.2890
4.4187 -6.9213 3.2752
2.9562 -3.3512 1.5343
6.6914 -8.2774 1.7180
2.2679 -2.2763 -4.0883
6.0032 -7.2025 -3.9046
3.1926 -3.1768 -1.5223
0.5514 -3.9212 -0.4277
4.5406 -3.6325 -5.6455
8.4079 -6.6326 -1.9426
1.2767 -4.1619 -2.6866
4.4053 -4.4859 3.0188
4.5541 -6.0678 -5.3891
7.6826 -6.3918 0.3163

***

(4)
ReAsIr2 | Alexandria | PBE | optimized geometry; DFT formation energy = 156 meV/atom
1.0
3.9586 0.0000 0.0000
0.0000 2.8315 0.0560
0.0000 1.9269 5.3884
As Ir Re
1 2 1
Cartesian
1.9793 3.5688 4.0833
0.0000 2.5992 2.6988
0.0000 2.6115 0.0794
1.9793 1.1896 1.3611

***

(5)
TcOsRh2 | Alexandria | PBE | optimized geometry; DFT formation energy = 27 meV/atom; polymorph energy (0 for the lowest one) = 2.035 kcal/mol of atoms
1.0
-2.2443 -1.4937 -3.9154
3.4265 -3.0497 1.2476
-1.7619 -1.3550 1.5268
Rh Os Tc
2 1 1
Cartesian
0.0000 0.0000 0.0000
0.5911 -2.2717 -1.3339
0.8323 -2.2024 1.3872
-2.0031 -1.4243 -1.1943

***

(6)
NdNiAgAu | Alexandria | PBE | optimized geometry; DFT formation energy = -248 meV/atom
1.0
4.8513 0.0000 0.0000
2.4257 4.2014 0.0000
2.4257 1.4005 3.9611
Ni Au Nd Ag
1 1 1 1
Cartesian
4.8513 2.8009 1.9805
0.0000 0.0000 0.0000
7.2770 4.2014 2.9708
2.4257 1.4005 0.9903

***

(7)
MgScIr2 | Alexandria | PBE | optimized geometry; DFT formation energy = -427 meV/atom
1.0
-3.7487 0.8412 -1.7057
-1.3007 -1.1576 2.2878
-1.3287 3.6915 4.7406
Sc Ir Mg
1 2 1
Cartesian
-3.8474 2.4471 4.4829
-1.3282 3.6100 4.6995
-2.5318 1.1560 0.9547
-1.3140 1.1205 3.4405

***

(8)
Sr2CuH | Alexandria | PBE | optimized geometry; polymorph energy (0 for the lowest one) = 0.790 kcal/mol of atoms
1.0
-6.0772 3.8220 -0.4797
-2.9336 -5.1730 -4.0501
-5.9807 -2.5816 1.2382
Cu Sr H
2 4 2
Cartesian
0.0000 0.0000 0.0000
-8.2816 0.2825 -0.7532
-4.4850 -3.1513 -2.3131
-12.1785 -2.7807 -2.7706
-5.2634 0.8473 -0.4652
-8.0560 -2.7805 -1.0344
-4.5054 -0.6755 -2.2649
-6.7099 -4.2150 -2.5384